No. 1
# ReAg4W | the Alexandria database | PBE | optimized geometry
# formation energy from the elements: 6.12 eV/f.u.
# SG: F-43m, No. 216
# crystal system: cubic
data_ReAg4W
_space_group_name_H-M_alt 'P 1'
_space_group_IT_number 1
_space_group_name_Hall 'P 1'
_cell_length_a 5.2324
_cell_length_b 5.2324
_cell_length_c 5.2324
_cell_angle_alpha 60.00
_cell_angle_beta 60.00
_cell_angle_gamma 60.00
loop_
_atom_site_label
_atom_site_type_symbol
_atom_site_fract_x
_atom_site_fract_y
_atom_site_fract_z
Re1 Re 0.0000 0.0000 0.0000
Ag1 Ag 0.3750 0.3750 0.3750
Ag2 Ag 0.3750 0.3750 0.8751
Ag3 Ag 0.3750 0.8751 0.3750
Ag4 Ag 0.8751 0.3750 0.3750
W1 W 0.7500 0.7500 0.7500

No. 2
# NbOF2 | the Alexandria database | PBE | optimized geometry
# SG: Immm, No. 71
# E_form (uncorrected): -252 kJ/mol of atoms
# crystal system: orthorhombic
data_NbOF2
_space_group_name_H-M_alt 'P 1'
_space_group_IT_number 1
_space_group_name_Hall 'P 1'
_cell_length_a 3.4224
_cell_length_b 3.8889
_cell_length_c 9.2908
_cell_angle_alpha 90.00
_cell_angle_beta 90.00
_cell_angle_gamma 90.00
loop_
_atom_site_label
_atom_site_type_symbol
_atom_site_fract_x
_atom_site_fract_y
_atom_site_fract_z
Nb1 Nb 0.0000 0.0000 0.0000
Nb2 Nb 0.5000 0.5000 0.5000
O1 O 0.0000 0.5000 0.0000
O2 O 0.5000 0.0000 0.5000
F1 F 0.0000 0.5000 0.3648
F2 F 0.0000 0.5000 0.6352
F3 F 0.5000 0.0000 0.1352
F4 F 0.5000 0.0000 0.8648